No. 1
Sn2PI: relaxed, PBE-GGA.

Cell and atoms, written as extended XYZ:
```
8
Lattice="-7.3389 1.5029 -2.7638 -0.2266 -7.2491 -3.3401 -5.3785 -4.3945 0.3581" Properties=species:S:1:pos:R:3 pbc="T T T"
P -4.6939 -7.2583 -3.0170
I -8.2501 -2.8823 -2.7289
Sn -2.8902 -5.3418 -2.5268
Sn -6.8860 -5.9313 -2.2419
Sn -10.6387 -7.8432 -4.8510
I 0.0000 0.0000 0.0000
Sn -5.4732 -1.1651 -1.8721
P -3.7828 -2.8731 -3.0520
```

Calculated values
Fermi-level density of states (states/eV per cell): 1.98
Energy above the lowest structure with this stoichiometry (meV per atom): 213
Crystal system: tetragonal
Energy relative to the elements, uncorrected (eV/atom): 0.074

No. 2
NaCeCuF6: relaxed, PBE-GGA.

Cell and atoms, written as extended XYZ:
```
18
Lattice="-2.1359 0.7651 5.2504 -1.7112 -4.4473 -3.1635 7.2436 -5.4478 3.7405" Properties=species:S:1:pos:R:3 pbc="T T T"
F 1.3383 -3.2917 2.0582
F -1.5601 -3.1578 1.8289
F 0.3459 -2.2661 -0.5632
Cu 3.4384 -5.0582 5.2512
F 1.5149 -4.9294 -0.6689
F 3.0506 -6.8639 6.3907
F -1.4635 -4.8721 -0.8547
F 1.8816 -4.2006 6.4964
Na 0.0000 0.0000 0.0000
Ce -0.1834 -2.3343 3.3809
Ce 3.5799 -6.7957 2.4466
Na 3.6218 -2.7239 1.8703
F 2.0582 -5.8383 3.7693
F 4.8600 -4.2580 6.6822
F 3.8231 -3.2164 4.1700
F -0.4266 -5.9137 1.6574
Cu -0.0419 -4.0718 0.5763
F 4.9565 -5.9722 3.9986
```

Calculated values
Fermi-level density of states (states/eV per cell): 18.80
Crystal system: trigonal
Energy relative to the elements, uncorrected (eV/atom): -2.907

No. 3
NaNbI2O: relaxed, PBE-GGA.

Cell and atoms, written as extended XYZ:
```
5
Lattice="-2.8991 -1.7004 4.8777 -4.7321 -1.3688 -3.2897 1.3894 -3.6935 -0.4618" Properties=species:S:1:pos:R:3 pbc="T T T"
O 0.6947 -1.8468 -0.2309
I -2.3660 -0.6844 -1.6449
I -1.4496 -0.8502 2.4388
Nb 0.0000 0.0000 0.0000
Na -3.1209 -3.3813 0.5631
```

Calculated values
Fermi-level density of states (states/eV per cell): 1.43
Energy above the lowest structure with this stoichiometry (meV per atom): 0
Crystal system: tetragonal
Energy relative to the elements, uncorrected (eV/atom): -1.013

No. 4
YSnO: relaxed, PBE-GGA.

Cell and atoms, written as extended XYZ:
```
12
Lattice="-5.6679 -0.5094 -0.7244 0.3275 -3.1638 -0.3375 -1.6026 -1.6253 13.6816" Properties=species:S:1:pos:R:3 pbc="T T T"
O -2.8339 -0.2547 -0.3622
Sn -5.3352 -3.2273 9.9404
Y -4.8141 -4.4488 6.7230
Sn -2.2459 -4.4615 9.3518
Y -2.7665 -3.2436 12.5688
Y -4.1765 -2.0550 0.0509
Sn -1.6078 -2.0713 2.6793
O -0.6376 -2.3945 6.6721
O 0.0000 0.0000 0.0000
O -3.4715 -2.6493 6.3098
Y -2.1289 -0.8497 5.8967
Sn -4.6972 -0.8370 3.2679
```

Calculated values
Fermi-level density of states (states/eV per cell): 6.16
Energy above the lowest structure with this stoichiometry (meV per atom): 0
Crystal system: orthorhombic
Energy relative to the elements, uncorrected (eV/atom): -1.884

No. 5
PmMg2Si2Pt: relaxed, PBE-GGA.

Cell and atoms, written as extended XYZ:
```
6
Lattice="5.1103 0.0000 0.0000 0.0000 5.1103 0.0000 -2.5551 -2.5551 5.3290" Properties=species:S:1:pos:R:3 pbc="T T T"
Si 2.5551 2.5551 3.0421
Mg 2.5551 0.0000 2.6645
Pm 2.5551 2.5551 0.0000
Pt 0.0000 0.0000 0.0000
Si 0.0000 0.0000 2.2869
Mg 0.0000 2.5551 2.6645
```

Calculated values
Fermi-level density of states (states/eV per cell): 2.39
Crystal system: tetragonal
Energy relative to the elements, uncorrected (eV/atom): -0.106

No. 6
Ac4IrOs: relaxed, PBE-GGA.

Cell and atoms, written as extended XYZ:
```
12
Lattice="0.4532 -4.9910 -5.4509 6.8327 0.6181 2.7827 -5.2911 -3.8464 6.7210" Properties=species:S:1:pos:R:3 pbc="T T T"
Ac 2.3021 -2.1729 6.0570
Os 5.0693 -3.0635 0.2827
Ac -1.6036 -4.1957 6.1997
Ir 1.4406 -0.8247 1.5701
Ac -0.0568 -1.8588 -0.8408
Ir 0.5541 -7.3946 2.4828
Ac 3.5984 -4.0236 -2.1468
Os -3.0745 -5.1558 3.7701
Ac -0.3074 -6.0464 -2.0041
Ac -0.9151 -4.9460 1.9671
Ac 2.9099 -3.2733 2.0858
Ac 2.0516 -6.3605 4.8936
```

Calculated values
Fermi-level density of states (states/eV per cell): 8.18
Crystal system: monoclinic
Formation energy from the elements (eV per formula unit): -1.60

No. 7
Ba2CaF: relaxed, PBE-GGA.

Cell and atoms, written as extended XYZ:
```
8
Lattice="-4.2806 6.7226 2.8462 -0.3023 -3.4598 7.7173 2.1372 3.9398 6.4901" Properties=species:S:1:pos:R:3 pbc="T T T"
F -0.2283 1.0557 9.7445
F -2.2915 1.6314 5.2817
Ba -2.3636 6.3079 12.9994
Ba -1.5625 3.7861 3.9562
Ba -0.8061 0.6309 7.2114
Ca -2.2174 6.1469 7.3090
Ba -0.1592 3.6802 9.9400
Ca 0.0000 0.0000 0.0000
```

Calculated values
Fermi-level density of states (states/eV per cell): 19.15
Energy above the lowest structure with this stoichiometry (meV per atom): 0
Crystal system: tetragonal
Energy relative to the elements, uncorrected (eV/atom): -1.280

No. 8
RbYI3: relaxed, PBE-GGA.

Cell and atoms, written as extended XYZ:
```
5
Lattice="-2.1247 3.7493 4.7676 -4.4115 -4.4222 1.5116 4.1625 -2.7729 4.0357" Properties=species:S:1:pos:R:3 pbc="T T T"
I 2.0812 -1.3865 2.0178
I -2.2058 -2.2111 0.7558
I -1.0624 1.8747 2.3838
Y -1.1869 -1.7229 5.1575
Rb 0.0000 0.0000 0.0000
```

Calculated values
Fermi-level density of states (states/eV per cell): 6.20
Energy above the lowest structure with this stoichiometry (meV per atom): 1162
Crystal system: cubic
Energy relative to the elements, uncorrected (eV/atom): -0.147

No. 9
PrDy8Er6: relaxed, PBE-GGA.

Cell and atoms, written as extended XYZ:
```
15
Lattice="-5.1353 -3.1645 6.6571 3.6863 -4.8610 6.5943 0.6420 3.0422 8.0028" Properties=species:S:1:pos:R:3 pbc="T T T"
Dy -0.8994 -4.5631 13.1026
Dy 0.0925 -0.4202 8.1515
Er -1.6495 -1.9920 15.1722
Dy 2.4491 -2.6793 9.0483
Dy -3.0142 -1.5241 8.9204
Er 0.4063 -1.1168 3.2300
Dy 2.2073 -3.4592 12.3337
Er 1.4833 -3.1374 16.0155
Er -2.2902 -1.8459 5.2386
Pr 0.0000 0.0000 0.0000
Er -1.2133 -3.8665 18.0242
Dy -0.6620 -3.8056 9.8031
Dy -0.1449 -1.1777 11.4511
Er 0.8426 -2.9913 6.0819
Dy -3.2560 -2.3040 12.2059
```

Calculated values
Fermi-level density of states (states/eV per cell): 22.61
Crystal system: trigonal
Formation energy from the elements (eV per formula unit): 2.06

No. 10
Tb3Pr5Sb8: relaxed, PBE-GGA.

Cell and atoms, written as extended XYZ:
```
16
Lattice="2.5062 -3.9745 7.6804 7.9017 -4.2895 0.4794 6.7178 3.4708 4.8816" Properties=species:S:1:pos:R:3 pbc="T T T"
Sb 8.2599 -3.2943 3.4816
Pr 8.5628 -2.3966 6.5207
Tb 3.3589 1.7354 2.4408
Tb 4.6120 -0.2519 6.2810
Tb 7.3097 -0.4094 2.6805
Sb 11.5990 -1.6586 5.9119
Sb 5.5266 -3.1347 7.1295
Pr 5.2039 -4.1320 4.0799
Pr 0.0000 0.0000 0.0000
Pr 3.9509 -2.1448 0.2397
Sb 7.5962 0.5144 5.6691
Sb 4.3130 -1.1377 3.2814
Pr 1.2531 -1.9873 3.8402
Sb 8.8657 -1.4990 9.5598
Sb 9.5294 -5.3077 7.3723
Sb 12.8126 -3.6555 9.7600
```

Calculated values
Fermi-level density of states (states/eV per cell): 2.06
Crystal system: trigonal
Energy relative to the elements, uncorrected (eV/atom): -1.170

No. 11
TcOsCI2: relaxed, PBE-GGA.

Cell and atoms, written as extended XYZ:
```
5
Lattice="5.3363 0.0000 0.0000 0.0000 3.7210 0.0000 0.0000 0.0000 5.3363" Properties=species:S:1:pos:R:3 pbc="T T T"
Os 2.6682 1.8605 2.6682
Tc 0.0000 0.0000 0.0000
I 2.6682 0.0000 0.0000
I 0.0000 0.0000 2.6682
C 0.0000 1.8605 0.0000
```

Calculated values
Fermi-level density of states (states/eV per cell): 6.11
Crystal system: tetragonal
Energy relative to the elements, uncorrected (eV/atom): 1.858

Computed magnetization, in the same sequence as the records: 0.000, 0.069, 0.378, 0.000, 0.000, 0.000, 0.000, 0.200, 0.000, 0.000, 0.000 μB per atom.